# Mn2AlTlO

An optimized crystal structure of Mn2AlTlO (GGA+U, Alexandria via LeMat-Bulk).

## Properties
Offset from the most stable computed form   1208 meV per atom
Magnetization   10.31 μB/f.u.
N(E_F)   3.82 states/eV/cell

Lattice parameters (Å, degrees): 5.057 5.057 5.262 90.00 90.00 90.00
Space group P4/mmm (No. 123)
One atom of each set of equivalent atoms:
Mn 0.000 0.500 0.000 x2
Al 0.000 0.000 0.000 x1
Tl 0.000 0.000 0.500 x1
O 0.500 0.500 0.500 x1